A relaxed PrTlAg2Cl6 crystal. Source: Alexandria, functional GGA-PBE.

The formation energy (no corrections) is -1274.4 meV/atom. As for the calculated volume: 886.3 Å³/cell. Its raw total energy is -3.667 eV per atom.

The space group is R3 (No. 146, hexagonal axes) and the conventional cell measures 7.2300, 7.2300 and 19.5752 Å, with angles of 90.00, 90.00 and 120.00 degrees. The asymmetric unit holds Pr at (0.0000, 0.0000, 0.0000), Tl at (0.0000, 0.0000, 0.5176), Ag at (0.0000, 0.0000, 0.3158), Ag at (0.0000, 0.0000, 0.8025), Cl at (0.0011, 0.3417, 0.0660) and Cl at (0.0162, 0.5989, 0.5723).

---

A relaxed AgPt2Cl crystal. Source: Alexandria, functional GGA-PBE.

The formation energy (no corrections) is 125.2 meV/atom. As for the calculated volume: 77.2 Å³/cell. Its raw total energy is -4.070 eV per atom.

The space group is Pm (No. 6) and the conventional cell measures 3.2466, 3.3988 and 7.0007 Å, with angles of 90.00, 90.67 and 90.00 degrees. The asymmetric unit holds Ag at (0.0000, 0.0000, 0.0000), Pt at (0.4920, 0.5000, 0.7556), Pt at (0.9878, 0.0000, 0.5872) and Cl at (0.9794, 0.5000, 0.3106).

---

A relaxed Ag2PtCl8 crystal. Source: Alexandria, functional GGA-PBE.

The formation energy (no corrections) is -279.8 meV/atom. As for the calculated volume: 602.6 Å³/cell. Its raw total energy is -2.690 eV per atom.

The space group is C2/m (No. 12) and the conventional cell measures 11.8584, 7.3262 and 6.9364 Å, with angles of 90.00, 90.33 and 90.00 degrees. The asymmetric unit holds Ag at (0.1220, 0.0000, 0.4981), Pt at (0.0000, 0.0000, 0.0000), Cl at (0.0615, 0.2228, 0.2194), Cl at (0.1749, 0.0000, 0.8451) and Cl at (0.1794, 0.5000, 0.5619).

---

A relaxed AgPt2Cl crystal. Source: Alexandria, functional GGA-PBE.

The formation energy (no corrections) is 335.4 meV/atom. As for the calculated volume: 199.1 Å³/cell. Its raw total energy is -3.859 eV per atom.

The space group is R-3m (No. 166, hexagonal axes) and the conventional cell measures 2.9099, 2.9099 and 27.1554 Å, with angles of 90.00, 90.00 and 120.00 degrees. The asymmetric unit holds Ag at (0.0000, 0.0000, 0.0000), Pt at (0.0000, 0.0000, 0.2482) and Cl at (0.0000, 0.0000, 0.5000).

---

A relaxed Ag3PtCl6 crystal. Source: Alexandria, functional GGA-PBE.

The formation energy (no corrections) is -381.4 meV/atom. As for the calculated volume: 459.9 Å³/cell. Its raw total energy is -2.949 eV per atom.

The space group is P2_1/c (No. 14) and the conventional cell measures 6.8224, 6.7180 and 11.7412 Å, with angles of 90.00, 121.29 and 90.00 degrees. The asymmetric unit holds Ag at (0.0000, 0.0000, 0.0000), Ag at (0.2380, 0.0410, 0.7508), Pt at (0.5000, 0.0000, 0.5000), Cl at (0.1398, 0.0768, 0.2516), Cl at (0.2680, 0.6618, 0.0662) and Cl at (0.4206, 0.1975, 0.0685).

---

A relaxed AgPt2Cl crystal. Source: Alexandria, functional GGA-PBE.

The formation energy (no corrections) is 341.7 meV/atom. As for the calculated volume: 134.3 Å³/cell. Its raw total energy is -3.853 eV per atom.

The space group is Cmmm (No. 65) and the conventional cell measures 2.8649, 5.0910 and 9.2091 Å, with angles of 90.00, 90.00 and 90.00 degrees. The asymmetric unit holds Ag at (0.0000, 0.0000, 0.0000), Pt at (0.0000, 0.5000, 0.2585) and Cl at (0.0000, 0.0000, 0.5000).

---

A relaxed Ag2PtCl crystal. Source: Alexandria, functional GGA-PBE.

The formation energy (no corrections) is 219.3 meV/atom. As for the calculated volume: 73.2 Å³/cell. Its raw total energy is -3.178 eV per atom.

The space group is P4/mmm (No. 123) and the conventional cell measures 4.9791, 4.9791 and 2.9508 Å, with angles of 90.00, 90.00 and 90.00 degrees. The asymmetric unit holds Ag at (0.0000, 0.5000, 0.0000), Pt at (0.0000, 0.0000, 0.5000) and Cl at (0.5000, 0.5000, 0.5000).

---

A relaxed AgPtCl6 crystal. Source: Alexandria, functional GGA-PBE.

The formation energy (no corrections) is -330.2 meV/atom. As for the calculated volume: 193.9 Å³/cell. Its raw total energy is -2.827 eV per atom.

The space group is P-1 (No. 2) and the conventional cell measures 6.0503, 6.3357 and 6.4710 Å, with angles of 65.27, 89.57 and 62.26 degrees. The asymmetric unit holds Ag at (0.0000, 0.0000, 0.0000), Pt at (0.5000, 0.0000, 0.5000), Cl at (0.1066, 0.1710, 0.2560), Cl at (0.2616, 0.1727, 0.7378) and Cl at (0.4688, 0.4184, 0.2796).

---

Question: Which formula does entry 6 have?
Answer: AgPt2Cl

---

Question: Which of these has the highest calculated volume?
Answer: PrTlAg2Cl6